No. 1
A plane-wave DFT calculation with PBE-GGA was carried out for crystalline AcCuGe3 at its relaxed geometry.

magnetic moment = 0.00 μB per formula unit
symmetry = I4mm (107)
theoretical density = 8024 kg/m3
energy = -24.2 eV for the cell shown
offset from the most stable computed form = 0.00 eV per formula unit
Fermi-level density of states = 1.26 states/eV/cell
energy of formation = -0.43 eV per atom

abc: 5.850 5.850 5.850
angles: 132.97 132.97 68.70
Sites, in units of the cell vectors:
Ac (0.000, 0.000, 0.000)
Cu (0.643, 0.643, 0.000)
Ge (0.249, 0.749, 0.500)
Ge (0.387, 0.387, 0.000)
Ge (0.749, 0.249, 0.500)

No. 2
A plane-wave DFT calculation with PBE-GGA was carried out for crystalline Ac3CuGe at its relaxed geometry.

magnetic moment = 0.00 μB per formula unit
symmetry = P1 (1)
theoretical density = 8302 kg/m3
energy = -45.2 eV for the cell shown
Fermi-level density of states = 11.22 states/eV/cell
energy of formation = -0.31 eV per atom

abc: 4.368 8.603 8.985
angles: 89.28 89.82 75.51
Sites, in units of the cell vectors:
Ac (0.000, 0.000, 0.000)
Ac (0.092, 0.822, 0.358)
Ac (0.291, 0.422, 0.996)
Ac (0.435, 0.123, 0.611)
Ac (0.657, 0.699, 0.747)
Ac (0.801, 0.400, 0.361)
Cu (0.263, 0.482, 0.625)
Cu (0.830, 0.341, 0.733)
Ge (0.436, 0.130, 0.246)
Ge (0.656, 0.692, 0.112)

No. 3
A plane-wave DFT calculation with PBE-GGA was carried out for crystalline AcCu3Ge2 at its relaxed geometry.

magnetic moment = 0.00 μB per formula unit
symmetry = C2/m (12)
theoretical density = 8429 kg/m3
energy = -55.6 eV for the cell shown
offset from the most stable computed form = 0.00 eV per formula unit
Fermi-level density of states = 5.84 states/eV/cell
energy of formation = -0.36 eV per atom

abc: 8.213 8.213 7.281
angles: 113.55 113.55 29.73
Sites, in units of the cell vectors:
Ac (0.152, 0.152, 0.079)
Ac (0.848, 0.848, 0.921)
Cu (0.030, 0.030, 0.369)
Cu (0.311, 0.311, 0.546)
Cu (0.411, 0.411, 0.351)
Cu (0.589, 0.589, 0.649)
Cu (0.689, 0.689, 0.454)
Cu (0.970, 0.970, 0.631)
Ge (0.185, 0.185, 0.664)
Ge (0.477, 0.477, 0.805)
Ge (0.523, 0.523, 0.195)
Ge (0.815, 0.815, 0.336)

No. 4
A plane-wave DFT calculation with PBE-GGA was carried out for crystalline Ac4Cu2Ge5 at its relaxed geometry.

magnetic moment = 0.00 μB per formula unit
symmetry = P2/m (10)
theoretical density = 7999 kg/m3
energy = -53.8 eV for the cell shown
Fermi-level density of states = 5.81 states/eV/cell
energy of formation = -0.56 eV per atom

abc: 7.504 4.558 8.499
angles: 90.00 93.09 90.00
Sites, in units of the cell vectors:
Ac (0.230, 0.000, 0.137)
Ac (0.269, 0.000, 0.642)
Ac (0.731, 0.000, 0.358)
Ac (0.770, 0.000, 0.863)
Cu (0.078, 0.500, 0.379)
Cu (0.922, 0.500, 0.621)
Ge (0.100, 0.500, 0.878)
Ge (0.405, 0.500, 0.370)
Ge (0.500, 0.500, 0.000)
Ge (0.595, 0.500, 0.630)
Ge (0.900, 0.500, 0.122)

- magnetic moment of number 1 (AcCuGe3)?
  0.00 μB per formula unit

- Which value of Fermi-level density of states does entry 4 give?
  5.81 states/eV/cell

What did the third record say?
A plane-wave DFT calculation with PBE-GGA was carried out for crystalline AcCu3Ge2 at its relaxed geometry.

magnetic moment = 0.00 μB per formula unit
symmetry = C2/m (12)
theoretical density = 8429 kg/m3
energy = -55.6 eV for the cell shown
offset from the most stable computed form = 0.00 eV per formula unit
Fermi-level density of states = 5.84 states/eV/cell
energy of formation = -0.36 eV per atom

abc: 8.213 8.213 7.281
angles: 113.55 113.55 29.73
Sites, in units of the cell vectors:
Ac (0.152, 0.152, 0.079)
Ac (0.848, 0.848, 0.921)
Cu (0.030, 0.030, 0.369)
Cu (0.311, 0.311, 0.546)
Cu (0.411, 0.411, 0.351)
Cu (0.589, 0.589, 0.649)
Cu (0.689, 0.689, 0.454)
Cu (0.970, 0.970, 0.631)
Ge (0.185, 0.185, 0.664)
Ge (0.477, 0.477, 0.805)
Ge (0.523, 0.523, 0.195)
Ge (0.815, 0.815, 0.336)